[1]
5
Lattice="5.2212 0.0000 0.0000 0.0000 5.2212 0.0000 0.0000 0.0000 4.5103" Properties=species:S:1:pos:R:3 comment="CrAsRhPb2, relaxed, DFT PBE-GGA" dos_at_fermi_per_ev_cell=4.2 magmom_total_mub_per_cell=2.24 spacegroup="P4/mmm, No. 123" total_energy_ha_per_atom=-0.1847 crystal_system=tetragonal volume_a3_per_atom=24.59 pbc="T T T"
Cr 0.0000 0.0000 0.0000
As 2.6106 2.6106 2.2552
Rh 0.0000 0.0000 2.2552
Pb 0.0000 2.6106 0.0000
Pb 2.6106 0.0000 0.0000



[2]
5
Lattice="5.0941 0.0000 0.0000 0.0000 5.0941 0.0000 0.0000 0.0000 5.3030" Properties=species:S:1:pos:R:3 comment="Cr2AsRhPb, relaxed, DFT PBE-GGA" dos_at_fermi_per_ev_cell=8.4 magmom_total_mub_per_cell=7.28 spacegroup="P4/mmm, No. 123" total_energy_ha_per_atom=-0.1900 crystal_system=tetragonal volume_a3_per_atom=27.52 pbc="T T T"
Cr 0.0000 2.5470 0.0000
Cr 2.5470 0.0000 0.0000
As 0.0000 0.0000 2.6515
Rh 2.5470 2.5470 2.6515
Pb 0.0000 0.0000 0.0000



[3]
5
Lattice="5.2675 0.0000 0.0000 0.0000 5.2675 0.0000 0.0000 0.0000 4.6470" Properties=species:S:1:pos:R:3 comment="CrAs2PbSe, relaxed, DFT PBE-GGA" dos_at_fermi_per_ev_cell=3.2 magmom_total_mub_per_cell=3.85 polymorph_energy_mev_per_atom=413 spacegroup="P4/mmm, No. 123" e_form_raw_ev_per_atom=0.55 crystal_system=tetragonal volume_a3_per_atom=25.79 pbc="T T T"
Cr 0.0000 0.0000 0.0000
As 0.0000 2.6337 2.3235
As 2.6337 0.0000 2.3235
Pb 2.6337 2.6337 0.0000
Se 0.0000 0.0000 2.3235



[4]
5
Lattice="5.0265 0.0000 0.0000 0.0000 5.0265 0.0000 0.0000 0.0000 4.7036" Properties=species:S:1:pos:R:3 comment="CrAsPbSe2, relaxed, DFT PBE-GGA" dos_at_fermi_per_ev_cell=4.8 magmom_total_mub_per_cell=2.24 polymorph_energy_mev_per_atom=0 spacegroup="P4/mmm, No. 123" e_form_raw_ev_per_atom=0.02 crystal_system=tetragonal volume_a3_per_atom=23.77 pbc="T T T"
Cr 0.0000 0.0000 0.0000
As 0.0000 0.0000 2.3518
Pb 2.5133 2.5133 2.3518
Se 0.0000 2.5133 0.0000
Se 2.5133 0.0000 0.0000



[5]
5
Lattice="4.6091 0.0000 0.0000 0.0000 4.6091 0.0000 0.0000 0.0000 5.5619" Properties=species:S:1:pos:R:3 comment="CrAs2PbSe, relaxed, DFT PBE-GGA" dos_at_fermi_per_ev_cell=2.7 magmom_total_mub_per_cell=1.35 polymorph_energy_mev_per_atom=0 spacegroup="P4/mmm, No. 123" e_form_raw_ev_per_atom=0.13 crystal_system=tetragonal volume_a3_per_atom=23.63 pbc="T T T"
Cr 0.0000 0.0000 0.0000
As 0.0000 2.3046 0.0000
As 2.3046 0.0000 0.0000
Pb 2.3046 2.3046 2.7810
Se 0.0000 0.0000 2.7810



[6]
12
Lattice="4.9828 0.0000 0.0000 0.0000 4.9828 0.0000 0.0000 0.0000 8.4411" Properties=species:S:1:pos:R:3 comment="CrAsPd4, relaxed, DFT PBE-GGA" dos_at_fermi_per_ev_cell=14.3 magmom_total_mub_per_cell=6.23 spacegroup="P-42c, No. 112" total_energy_ha_per_atom=-0.2074 crystal_system=tetragonal volume_a3_per_atom=17.47 pbc="T T T"
Cr 0.0000 0.0000 0.0000
Cr 0.0000 0.0000 4.2206
As 0.0000 2.4914 2.1103
As 2.4914 0.0000 6.3309
Pd 1.2508 1.8239 7.4854
Pd 1.2508 3.1589 5.1763
Pd 1.8239 1.2508 3.2649
Pd 1.8239 3.7321 0.9557
Pd 3.1589 1.2508 0.9557
Pd 3.1589 3.7321 3.2649
Pd 3.7321 1.8239 5.1763
Pd 3.7321 3.1589 7.4854



[7]
5
Lattice="4.7129 0.0000 0.0000 0.0000 4.7129 0.0000 0.0000 0.0000 4.7129" Properties=species:S:1:pos:R:3 comment="Cr3AsPd, relaxed, DFT PBE-GGA" dos_at_fermi_per_ev_cell=8.7 magmom_total_mub_per_cell=12.57 polymorph_energy_mev_per_atom=0 spacegroup="Pm-3m, No. 221" crystal_system=cubic volume_a3_per_atom=20.94 pbc="T T T"
Cr 0.0000 0.0000 2.3565
Cr 0.0000 2.3565 0.0000
Cr 2.3565 0.0000 0.0000
As 0.0000 0.0000 0.0000
Pd 2.3565 2.3565 2.3565



[8]
9
Lattice="6.7033 0.0000 0.0000 -3.3517 5.8053 0.0000 0.0000 0.0000 3.6423" Properties=species:S:1:pos:R:3 comment="CrAsPd, relaxed, DFT PBE-GGA" dos_at_fermi_per_ev_cell=2.9 magmom_total_mub_per_cell=9.59 spacegroup="P-62m, No. 189" total_energy_ha_per_atom=-0.2463 crystal_system=hexagonal volume_a3_per_atom=15.75 pbc="T T T"
Cr -2.0292 3.5146 0.0000
Cr 1.3225 2.2906 0.0000
Cr 4.0583 0.0000 0.0000
As 0.0000 0.0000 0.0000
As 0.0000 3.8702 1.8211
As 3.3517 1.9351 1.8211
Pd -0.8998 1.5585 1.8211
Pd 1.7996 0.0000 1.8211
Pd 2.4519 4.2468 1.8211



[9]
10
Lattice="6.3929 0.0000 0.0000 0.0000 6.3929 0.0000 0.0000 0.0000 3.8608" Properties=species:S:1:pos:R:3 comment="CrAs2Pd2, relaxed, DFT PBE-GGA" dos_at_fermi_per_ev_cell=11.3 magmom_total_mub_per_cell=0.00 spacegroup="P4/mbm, No. 127" total_energy_ha_per_atom=-0.2146 crystal_system=tetragonal volume_a3_per_atom=15.78 pbc="T T T"
Cr 0.0000 0.0000 0.0000
Cr 3.1964 3.1964 0.0000
As 0.9780 2.2184 0.0000
As 2.2184 5.4149 0.0000
As 4.1744 0.9780 0.0000
As 5.4149 4.1744 0.0000
Pd 1.0257 4.2221 1.9304
Pd 2.1707 1.0257 1.9304
Pd 4.2221 5.3672 1.9304
Pd 5.3672 2.1707 1.9304



[10]
10
Lattice="5.9889 0.0000 0.0000 0.0000 5.9889 0.0000 0.0000 0.0000 4.1462" Properties=species:S:1:pos:R:3 comment="Cr2AsPd2, relaxed, DFT PBE-GGA" dos_at_fermi_per_ev_cell=5.4 magmom_total_mub_per_cell=1.69 spacegroup="P4/mbm, No. 127" total_energy_ha_per_atom=-0.2491 crystal_system=tetragonal volume_a3_per_atom=14.87 pbc="T T T"
Cr 0.7121 2.2823 0.0000
Cr 2.2823 5.2768 0.0000
Cr 3.7066 0.7121 0.0000
Cr 5.2768 3.7066 0.0000
As 0.0000 0.0000 0.0000
As 2.9945 2.9945 0.0000
Pd 0.9752 3.9697 2.0731
Pd 2.0193 0.9752 2.0731
Pd 3.9697 5.0137 2.0731
Pd 5.0137 2.0193 2.0731



[11]
16
Lattice="9.0626 0.0000 0.0000 0.0000 2.8306 4.7733 0.0000 -2.8306 4.7733" Properties=species:S:1:pos:R:3 comment="CrAsPd14, relaxed, DFT PBE-GGA" dos_at_fermi_per_ev_cell=25.6 magmom_total_mub_per_cell=2.68 spacegroup="Amm2, No. 38" total_energy_ha_per_atom=-0.2023 crystal_system=orthorhombic volume_a3_per_atom=15.31 pbc="T T T"
Cr 0.0000 0.0000 0.0000
As 0.0000 0.0000 4.7484
Pd 0.0000 -1.4019 2.4759
Pd 0.0000 1.4019 2.4759
Pd 2.1432 -1.4031 5.4317
Pd 2.1432 1.4031 5.4317
Pd 2.2612 0.0000 7.8579
Pd 2.3000 0.0000 3.0377
Pd 4.5313 0.0000 1.3562
Pd 4.5313 -1.4096 3.7832
Pd 4.5313 1.4096 3.7832
Pd 4.5313 0.0000 6.1644
Pd 6.7627 0.0000 3.0377
Pd 6.8014 0.0000 7.8579
Pd 6.9194 -1.4031 5.4317
Pd 6.9194 1.4031 5.4317



[12]
5
Lattice="4.6027 0.0000 0.0000 0.0000 4.6027 0.0000 0.0000 0.0000 4.6027" Properties=species:S:1:pos:R:3 comment="CrAs3Pd, relaxed, DFT PBE-GGA" dos_at_fermi_per_ev_cell=3.1 magmom_total_mub_per_cell=0.00 polymorph_energy_mev_per_atom=0 spacegroup="Pm-3m, No. 221" crystal_system=cubic volume_a3_per_atom=19.50 pbc="T T T"
Cr 0.0000 0.0000 0.0000
As 0.0000 0.0000 2.3014
As 0.0000 2.3014 0.0000
As 2.3014 0.0000 0.0000
Pd 2.3014 2.3014 2.3014



[13]
3
Lattice="-1.7619 1.7619 3.8825 1.7619 -1.7619 3.8825 1.7619 1.7619 -3.8825" Properties=species:S:1:pos:R:3 comment="CrAsPd, relaxed, DFT PBE-GGA" dos_at_fermi_per_ev_cell=2.5 magmom_total_mub_per_cell=3.54 spacegroup="I4mm, No. 107" total_energy_ha_per_atom=-0.2386 crystal_system=tetragonal volume_a3_per_atom=16.07 pbc="T T T"
Cr 0.0000 0.0000 0.0000
As 0.0000 0.0000 5.2048
Pd 0.0000 0.0000 2.6833



[14]
8
Lattice="-3.4271 3.4271 2.4979 3.4271 -3.4271 2.4979 3.4271 3.4271 -2.4979" Properties=species:S:1:pos:R:3 comment="Cr2AsPd, relaxed, DFT PBE-GGA" dos_at_fermi_per_ev_cell=13.8 magmom_total_mub_per_cell=0.00 spacegroup="I-42d, No. 122" total_energy_ha_per_atom=-0.2510 crystal_system=tetragonal volume_a3_per_atom=14.67 pbc="T T T"
Cr 5.1406 1.5180 -0.6245
Cr 1.5180 1.7135 0.6245
Cr -1.7135 1.9091 1.8735
Cr 1.9091 1.7135 3.1224
As 0.0000 0.0000 0.0000
As 0.0000 3.4271 1.2490
Pd 3.4271 0.0000 1.2490
Pd 0.0000 0.0000 2.4979



[15]
5
Lattice="4.8259 0.0000 0.0000 0.0000 4.8259 0.0000 0.0000 0.0000 4.8259" Properties=species:S:1:pos:R:3 comment="Cr3AsPd, relaxed, DFT PBE-GGA" dos_at_fermi_per_ev_cell=5.1 magmom_total_mub_per_cell=12.58 polymorph_energy_mev_per_atom=339 spacegroup="Pm-3m, No. 221" crystal_system=cubic volume_a3_per_atom=22.48 pbc="T T T"
Cr 0.0000 0.0000 2.4129
Cr 0.0000 2.4129 0.0000
Cr 2.4129 0.0000 0.0000
As 2.4129 2.4129 2.4129
Pd 0.0000 0.0000 0.0000



[16]
10
Lattice="4.3419 0.0000 0.0000 0.0000 4.3419 0.0000 0.0000 0.0000 10.3255" Properties=species:S:1:pos:R:3 comment="Pm2CrAs4Pd3, relaxed, DFT PBE-GGA" dos_at_fermi_per_ev_cell=4.5 magmom_total_mub_per_cell=3.38 spacegroup="P-4m2, No. 115" total_energy_ha_per_atom=-0.2238 crystal_system=tetragonal volume_a3_per_atom=19.47 pbc="T T T"
Pm 0.0000 2.1709 2.5155
Pm 2.1709 0.0000 7.8100
Cr 0.0000 0.0000 5.1628
As 0.0000 0.0000 0.0000
As 0.0000 2.1709 6.5274
As 2.1709 0.0000 3.7981
As 2.1709 2.1709 0.0000
Pd 0.0000 2.1709 8.9928
Pd 2.1709 0.0000 1.3328
Pd 2.1709 2.1709 5.1628



[17]
5
Lattice="5.4014 0.0000 0.0000 0.0000 5.4014 0.0000 0.0000 0.0000 4.9667" Properties=species:S:1:pos:R:3 comment="RbCr2AsPd, relaxed, DFT PBE-GGA" dos_at_fermi_per_ev_cell=2.2 magmom_total_mub_per_cell=9.75 polymorph_energy_mev_per_atom=933 spacegroup="P4/mmm, No. 123" crystal_system=tetragonal volume_a3_per_atom=28.98 pbc="T T T"
Rb 0.0000 0.0000 0.0000
Cr 0.0000 2.7007 0.0000
Cr 2.7007 0.0000 0.0000
As 2.7007 2.7007 2.4833
Pd 0.0000 0.0000 2.4833



[18]
5
Lattice="5.0198 0.0000 0.0000 0.0000 5.0198 0.0000 0.0000 0.0000 5.7863" Properties=species:S:1:pos:R:3 comment="RbCr2AsPd, relaxed, DFT PBE-GGA" dos_at_fermi_per_ev_cell=5.1 magmom_total_mub_per_cell=7.98 polymorph_energy_mev_per_atom=0 spacegroup="P4/mmm, No. 123" crystal_system=tetragonal volume_a3_per_atom=29.16 pbc="T T T"
Rb 0.0000 0.0000 0.0000
Cr 0.0000 2.5099 2.8932
Cr 2.5099 0.0000 2.8932
As 2.5099 2.5099 0.0000
Pd 0.0000 0.0000 2.8932



[19]
5
Lattice="4.5423 0.0000 0.0000 0.0000 4.5423 0.0000 0.0000 0.0000 4.4929" Properties=species:S:1:pos:R:3 comment="Cr2SiAsPd, relaxed, DFT PBE-GGA" dos_at_fermi_per_ev_cell=2.6 magmom_total_mub_per_cell=6.17 spacegroup="P4/mmm, No. 123" e_form_raw_ev_per_atom=0.54 crystal_system=tetragonal volume_a3_per_atom=18.54 pbc="T T T"
Cr 0.0000 2.2712 0.0000
Cr 2.2712 0.0000 0.0000
Si 0.0000 0.0000 0.0000
As 2.2712 2.2712 2.2464
Pd 0.0000 0.0000 2.2464



[20]
10
Lattice="4.3860 0.0000 0.0000 0.0000 4.3860 0.0000 0.0000 0.0000 10.5677" Properties=species:S:1:pos:R:3 comment="Sr2CrAs4Pd3, relaxed, DFT PBE-GGA" dos_at_fermi_per_ev_cell=6.3 magmom_total_mub_per_cell=2.92 spacegroup="P-4m2, No. 115" total_energy_ha_per_atom=-0.1989 crystal_system=tetragonal volume_a3_per_atom=20.33 pbc="T T T"
Sr 0.0000 2.1930 2.6041
Sr 2.1930 0.0000 7.9636
Cr 0.0000 0.0000 5.2839
As 0.0000 0.0000 0.0000
As 0.0000 2.1930 6.6528
As 2.1930 0.0000 3.9150
As 2.1930 2.1930 0.0000
Pd 0.0000 2.1930 9.2232
Pd 2.1930 0.0000 1.3445
Pd 2.1930 2.1930 5.2839



[21]
5
Lattice="4.5090 0.0000 0.0000 0.0000 4.5090 0.0000 0.0000 0.0000 4.6034" Properties=species:S:1:pos:R:3 comment="TiCr2AsPd, relaxed, DFT PBE-GGA" dos_at_fermi_per_ev_cell=4.4 magmom_total_mub_per_cell=3.71 spacegroup="P4/mmm, No. 123" total_energy_ha_per_atom=-0.2504 crystal_system=tetragonal volume_a3_per_atom=18.72 pbc="T T T"
Ti 0.0000 0.0000 0.0000
Cr 0.0000 2.2545 2.3017
Cr 2.2545 0.0000 2.3017
As 2.2545 2.2545 2.3017
Pd 2.2545 2.2545 0.0000



[22]
80
Lattice="-8.1065 8.1065 8.1065 8.1065 -8.1065 8.1065 8.1065 8.1065 -8.1065" Properties=species:S:1:pos:R:3 comment="Pm5Cr3As12, relaxed, DFT PBE-GGA" dos_at_fermi_per_ev_cell=45.7 magmom_total_mub_per_cell=35.91 spacegroup="Ia-3d, No. 230" total_energy_ha_per_atom=-0.2091 crystal_system=cubic volume_a3_per_atom=26.64 pbc="T T T"
Pm 0.0000 0.0000 0.0000
Pm 4.0532 4.0532 -4.0532
Pm 4.0532 -4.0532 4.0532
Pm 8.1065 0.0000 0.0000
Pm 12.1597 2.0266 0.0000
Pm 8.1065 -4.0532 6.0799
Pm 6.0799 8.1065 -4.0532
Pm 6.0799 0.0000 4.0532
Pm 4.0532 6.0799 0.0000
Pm 8.1065 4.0532 2.0266
Pm -4.0532 4.0532 4.0532
Pm 0.0000 8.1065 0.0000
Pm 0.0000 0.0000 8.1065
Pm 4.0532 4.0532 4.0532
Pm 0.0000 4.0532 6.0799
Pm 4.0532 2.0266 8.1065
Pm 2.0266 8.1065 4.0532
Pm 2.0266 0.0000 12.1597
Pm 0.0000 12.1597 2.0266
Pm -4.0532 6.0799 8.1065
Cr 4.0532 2.0266 0.0000
Cr 8.1065 4.0532 -2.0266
Cr 2.0266 0.0000 4.0532
Cr 10.1331 0.0000 4.0532
Cr 0.0000 4.0532 2.0266
Cr 4.0532 -2.0266 8.1065
Cr 4.0532 10.1331 0.0000
Cr 8.1065 4.0532 6.0799
Cr -2.0266 8.1065 4.0532
Cr 6.0799 8.1065 4.0532
Cr 0.0000 4.0532 10.1331
Cr 4.0532 6.0799 8.1065
As 7.7581 -1.7158 2.5648
As 12.5081 -1.4884 2.3374
As 2.5648 -0.3484 1.7158
As 9.5949 5.7691 -4.4016
As 10.6713 0.3484 1.7158
As 9.5949 -2.3374 4.4016
As 1.7158 2.5648 -0.3484
As 10.4439 3.7049 -1.4884
As 5.7691 4.4016 -1.4884
As 6.3907 2.5648 0.3484
As 7.7581 6.3907 -2.5648
As 4.4016 1.4884 2.3374
As -0.3484 1.7158 2.5648
As 4.4016 -1.4884 5.7691
As 6.3907 -2.5648 7.7581
As 5.7691 -4.4016 9.5949
As 2.3374 4.4016 1.4884
As 9.8223 5.5416 0.3484
As 2.5648 7.7581 -1.7158
As 9.5949 2.3374 3.7049
As 1.4884 2.3374 4.4016
As 2.5648 0.3484 6.3907
As 4.4016 9.5949 -2.3374
As 7.7581 1.7158 5.5416
As 0.3484 6.3907 2.5648
As 3.7049 -1.4884 10.4439
As 5.5416 7.7581 1.7158
As 6.6181 5.7691 3.7049
As -1.4884 5.7691 4.4016
As 5.5416 0.3484 9.8223
As -1.7158 2.5648 7.7581
As 5.7691 3.7049 6.6181
As 2.3374 12.5081 -1.4884
As 1.7158 10.6713 0.3484
As 3.7049 9.5949 2.3374
As 8.4549 6.3907 5.5416
As 3.7049 6.6181 5.7691
As 0.3484 1.7158 10.6713
As 1.7158 5.5416 7.7581
As 2.3374 3.7049 9.5949
As -2.3374 4.4016 9.5949
As 6.3907 5.5416 8.4549
As -1.4884 10.4439 3.7049
As -2.5648 7.7581 6.3907
As -1.4884 2.3374 12.5081
As 5.5416 8.4549 6.3907
As -4.4016 9.5949 5.7691
As 0.3484 9.8223 5.5416